{
  "formula": "Y4TlHgO",
  "functional": "PBE-GGA",
  "state": "relaxed",
  "lattice_angstrom": [[3.297, -8.021, 0.000], [3.297, 8.021, 0.000], [0.000, 0.000, 6.600]],
  "species": ["Y", "Y", "Y", "Y", "Y", "Y", "Y", "Y", "Tl", "Tl", "Hg", "Hg", "O", "O"],
  "fractional_positions": [[0.000, 0.500, 0.000], [0.000, 0.500, 0.500], [0.072, 0.928, 0.750], [0.420, 0.580, 0.750], [0.500, 0.000, 0.000], [0.500, 0.000, 0.500], [0.580, 0.420, 0.250], [0.928, 0.072, 0.250], [0.388, 0.612, 0.250], [0.612, 0.388, 0.750], [0.117, 0.883, 0.250], [0.883, 0.117, 0.750], [0.254, 0.746, 0.750], [0.746, 0.254, 0.250]],
  "space_group": "No. 63",
  "magmom_total_mub_per_cell": 0.0,
  "e_form_raw_mev_per_atom": -1086,
  "e_tot_ev_per_atom": -5.870
}

=====

{
  "formula": "TlZnHg2O4",
  "functional": "PBE-GGA",
  "state": "relaxed",
  "lattice_angstrom": [[5.214, 0.000, 0.000], [0.000, 5.214, 0.000], [0.000, 0.000, 10.041]],
  "species": ["Tl", "Tl", "Zn", "Zn", "Hg", "Hg", "Hg", "Hg", "O", "O", "O", "O", "O", "O", "O", "O"],
  "fractional_positions": [[0.000, 0.000, 0.000], [0.500, 0.500, 0.500], [0.000, 0.500, 0.250], [0.500, 0.000, 0.750], [0.000, 0.000, 0.500], [0.000, 0.500, 0.750], [0.500, 0.000, 0.250], [0.500, 0.500, 0.000], [0.215, 0.269, 0.135], [0.231, 0.715, 0.365], [0.269, 0.785, 0.865], [0.285, 0.231, 0.635], [0.715, 0.769, 0.635], [0.731, 0.215, 0.865], [0.769, 0.285, 0.365], [0.785, 0.731, 0.135]],
  "space_group": "No. 82",
  "magmom_total_mub_per_cell": 0.0,
  "e_form_raw_mev_per_atom": -600,
  "e_tot_ev_per_atom": -3.610
}